# 1
MgTiH4 | Alexandria | GGA-PBE | optimized geometry; SG = P4/mmm; ΔE to the lowest computed polymorph = 0.0212 eV per atom; total moment = 0.19 μB per formula unit; crystal system = tetragonal; DOS(E_F) = 1.98 states/eV/f.u.
1.0
3.143 0.000 0.000
0.000 3.143 0.000
0.000 0.000 4.662
Mg Ti H
1 1 4
direct
0.000 0.000 0.000
0.500 0.500 0.500
0.000 0.500 0.265
0.000 0.500 0.735
0.500 0.000 0.265
0.500 0.000 0.735

---

# 2
Na6CdIn | Alexandria | GGA-PBE | optimized geometry; SG = P4/mmm; DFT total energy = -1.4843 eV per atom; total moment = 0.00 μB per formula unit; crystal system = tetragonal; DOS(E_F) = 3.75 states/eV/f.u.
1.0
5.050 0.000 0.000
0.000 5.050 0.000
0.000 0.000 9.428
Na Cd In
6 1 1
direct
0.000 0.000 0.000
0.000 0.000 0.500
0.000 0.500 0.249
0.000 0.500 0.751
0.500 0.000 0.249
0.500 0.000 0.751
0.500 0.500 0.500
0.500 0.500 0.000

---

# 3
Sr2HfAgSe5 | Alexandria | GGA-PBE | optimized geometry; SG = Cmc2_1; total moment = 0.00 μB per formula unit; formation energy from raw total energies = -1.302 eV/atom; crystal system = orthorhombic; DOS(E_F) = 4.77 states/eV/f.u.
1.0
2.017 -9.156 0.000
2.017 9.156 0.000
0.000 0.000 12.855
Sr Hf Ag Se
4 2 2 10
direct
0.114 0.886 0.500
0.125 0.875 0.134
0.875 0.125 0.634
0.886 0.114 0.000
0.203 0.797 0.833
0.797 0.203 0.333
0.443 0.557 0.253
0.557 0.443 0.753
0.057 0.943 0.875
0.287 0.713 0.475
0.299 0.701 0.187
0.349 0.651 0.821
0.496 0.504 0.575
0.504 0.496 0.075
0.651 0.349 0.321
0.701 0.299 0.687
0.713 0.287 0.975
0.943 0.057 0.375